(1)
A relaxed structure of CdFe2Ru. Source: Alexandria via LeMat-Bulk, functional PBE-GGA.

Structure (POSCAR):
```
CdFe2Ru
1.0
5.126 0.003 0.343
4.267 2.839 0.343
1.640 0.496 4.083
Cd Fe Ru
1 2 1
Direct
0.256 0.256 0.244
0.020 0.020 0.980
0.742 0.742 0.758
0.482 0.482 0.519
```

Results
The energy of formation comes out at 0.30 eV/atom. The space group is Imm2, No. 44.

(2)
A relaxed structure of Cd2FeRu. Source: Alexandria via LeMat-Bulk, functional PBE-GGA.

Structure (POSCAR):
```
Cd2FeRu
1.0
4.869 -0.017 0.000
1.401 4.663 0.000
-3.135 -2.323 2.912
Cd Fe Ru
2 1 1
Direct
0.250 0.750 0.500
0.000 0.000 0.000
0.500 0.500 0.000
0.750 0.250 0.500
```

Results
The energy of formation comes out at 0.36 eV/atom. The space group is I-4m2, No. 119. Its relative energy among the computed polymorphs is 17.3 kJ per mole of atoms.

(3)
A relaxed structure of CdFe2Ru. Source: Alexandria via LeMat-Bulk, functional PBE-GGA.

Structure (POSCAR):
```
CdFe2Ru
1.0
-1.963 -0.911 -3.789
-0.364 -4.140 -1.328
-3.904 -1.949 -0.021
Fe Ru Cd
2 1 1
Direct
0.000 0.000 0.000
0.250 0.250 0.250
0.750 0.750 0.750
0.500 0.500 0.500
```

Results
The energy of formation comes out at 0.40 eV/atom. The space group is F-43m, No. 216.

Look up the energy of formation of the first one. 0.30 eV/atom

Which formula does entry 3 have? CdFe2Ru

Repeat the first record exactly.
A relaxed structure of CdFe2Ru. Source: Alexandria via LeMat-Bulk, functional PBE-GGA.

Structure (POSCAR):
```
CdFe2Ru
1.0
5.126 0.003 0.343
4.267 2.839 0.343
1.640 0.496 4.083
Cd Fe Ru
1 2 1
Direct
0.256 0.256 0.244
0.020 0.020 0.980
0.742 0.742 0.758
0.482 0.482 0.519
```

Results
The energy of formation comes out at 0.30 eV/atom. The space group is Imm2, No. 44.